The following is a DFT calculation (PBE) of an optimized crystal structure of CeFe2H8.

- Calculated density: 5.97 Mg/m³
- Electronic total energy: -4.68 eV/atom
- Calculated volume: 6.568 A^3/atom
- ΔE to the lowest computed polymorph: 0 meV per atom

```
data_CeFe2H8
_chemical_formula_sum 'Ce2 Fe4 H16'
_cell_length_a 4.920
_cell_length_b 8.006
_cell_length_c 3.668
_cell_angle_alpha 90.00
_cell_angle_beta 90.21
_cell_angle_gamma 90.00
_space_group_name_H-M_alt 'C 1 2/m 1'
_space_group_IT_number 12
loop_
_space_group_symop_operation_xyz
'x,y,z'
'-x,-y,-z'
'-x,y,-z'
'x,-y,z'
'x+1/2,y+1/2,z'
'-x+1/2,-y+1/2,-z'
'-x+1/2,y+1/2,-z'
'x+1/2,-y+1/2,z'
loop_
_atom_site_label
_atom_site_type_symbol
_atom_site_fract_x
_atom_site_fract_y
_atom_site_fract_z
Ce1 Ce 0.000 0.000 0.000
Fe1 Fe 0.000 0.325 0.500
H1 H 0.000 0.308 0.000
H2 H 0.005 0.500 0.736
H3 H 0.176 0.147 0.501
```

The following is a DFT calculation (PBE) of an optimized crystal structure of Be2SeBr.

- Uncorrected formation energy: 0.62 eV per atom
- Calculated density: 4.49 Mg/m³
- Electronic total energy: -2.54 eV/atom
- Calculated volume: 16.357 A^3/atom
- ΔE to the lowest computed polymorph: 913 meV per atom

```
data_Be2SeBr
_chemical_formula_sum 'Be8 Se4 Br4'
_cell_length_a 6.396
_cell_length_b 6.396
_cell_length_c 6.396
_cell_angle_alpha 90.00
_cell_angle_beta 90.00
_cell_angle_gamma 90.00
_space_group_name_H-M_alt 'F m -3 m'
_space_group_IT_number 225
_space_group_name_Hall '-F 4 2 3'
loop_
_atom_site_label
_atom_site_type_symbol
_atom_site_fract_x
_atom_site_fract_y
_atom_site_fract_z
Be1 Be 0.250 0.250 0.250
Se1 Se 0.000 0.000 0.000
Br1 Br 0.000 0.000 0.500
```

The following is a DFT calculation (PBE) of an optimized crystal structure of GaSnGe.

- Formation enthalpy at 0 K: 0.189 eV/atom
- Calculated density: 5.67 Mg/m³
- Electronic total energy: -3.69 eV/atom
- Calculated volume: 25.487 A^3/atom
- ΔE to the lowest computed polymorph: 83 meV per atom

```
data_GaSnGe
_chemical_formula_sum 'Ga4 Sn4 Ge4'
_cell_length_a 6.738
_cell_length_b 6.738
_cell_length_c 6.738
_cell_angle_alpha 90.00
_cell_angle_beta 90.00
_cell_angle_gamma 90.00
_space_group_name_H-M_alt 'F -4 3 m'
_space_group_IT_number 216
_space_group_name_Hall 'F -4 2 3'
loop_
_atom_site_label
_atom_site_type_symbol
_atom_site_fract_x
_atom_site_fract_y
_atom_site_fract_z
Ga1 Ga 0.000 0.000 0.000
Sn1 Sn 0.000 0.000 0.500
Ge1 Ge 0.250 0.250 0.750
```

The following is a DFT calculation (PBE) of an optimized crystal structure of HoTl3Ga2O6.

- Uncorrected formation energy: -1.58 eV per atom
- Calculated density: 7.07 Mg/m³
- Electronic total energy: -5.54 eV/atom
- Calculated volume: 19.833 A^3/atom

```
data_HoTl3Ga2O6
_chemical_formula_sum 'Ho1 Tl3 Ga2 O6'
_cell_length_a 6.1381
_cell_length_b 6.1381
_cell_length_c 7.2941
_cell_angle_alpha 90.00
_cell_angle_beta 90.00
_cell_angle_gamma 120.00
_space_group_name_H-M_alt 'P -3 m 1'
_space_group_IT_number 164
_space_group_name_Hall '-P 3 2"'
loop_
_atom_site_label
_atom_site_type_symbol
_atom_site_fract_x
_atom_site_fract_y
_atom_site_fract_z
Ho1 Ho 0.0000 0.0000 0.0000
Tl1 Tl 0.0000 0.0000 0.5000
Tl2 Tl 0.3333 0.6667 0.2577
Ga1 Ga 0.3333 0.6667 0.8076
O1 O 0.1656 0.3313 0.8054
```

The following is a DFT calculation (PBE) of an optimized crystal structure of ZnNiHg2.

- Formation enthalpy at 0 K: 0.251 eV/atom
- Calculated density: 12.17 Mg/m³
- Electronic total energy: -1.66 eV/atom
- Calculated volume: 17.919 A^3/atom

```
data_ZnNiHg2
_chemical_formula_sum 'Zn2 Ni2 Hg4'
_cell_length_a 8.806
_cell_length_b 3.090
_cell_length_c 5.356
_cell_angle_alpha 90.00
_cell_angle_beta 100.38
_cell_angle_gamma 90.00
_space_group_name_H-M_alt 'C 1 2/m 1'
_space_group_IT_number 12
loop_
_space_group_symop_operation_xyz
'x,y,z'
'-x,-y,-z'
'-x,y,-z'
'x,-y,z'
'x+1/2,y+1/2,z'
'-x+1/2,-y+1/2,-z'
'-x+1/2,y+1/2,-z'
'x+1/2,-y+1/2,z'
loop_
_atom_site_label
_atom_site_type_symbol
_atom_site_fract_x
_atom_site_fract_y
_atom_site_fract_z
Zn1 Zn 0.000 0.000 0.000
Ni1 Ni 0.000 0.500 0.500
Hg1 Hg 0.243 0.000 0.740
```

The following is a DFT calculation (PBE) of an optimized crystal structure of PmZrS2.

- Uncorrected formation energy: -1.14 eV per atom
- Calculated density: 4.60 Mg/m³
- Electronic total energy: -6.52 eV/atom
- Calculated volume: 27.109 A^3/atom
- ΔE to the lowest computed polymorph: 517 meV per atom

```
data_PmZrS2
_chemical_formula_sum 'Pm3 Zr3 S6'
_cell_length_a 3.8901
_cell_length_b 3.8901
_cell_length_c 24.8224
_cell_angle_alpha 90.00
_cell_angle_beta 90.00
_cell_angle_gamma 120.00
_space_group_name_H-M_alt 'R -3 m'
_space_group_IT_number 166
_space_group_name_Hall '-R 3 2"'
loop_
_atom_site_label
_atom_site_type_symbol
_atom_site_fract_x
_atom_site_fract_y
_atom_site_fract_z
Pm1 Pm 0.0000 0.0000 0.0000
Zr1 Zr 0.0000 0.0000 0.5000
S1 S 0.0000 0.0000 0.3996
```

The following is a DFT calculation (PBE) of an optimized crystal structure of MoPbSe.

- Uncorrected formation energy: 0.01 eV per atom
- Calculated density: 9.10 Mg/m³
- Electronic total energy: -5.99 eV/atom
- Calculated volume: 23.242 A^3/atom
- ΔE to the lowest computed polymorph: 49 meV per atom

```
data_MoPbSe
_chemical_formula_sum 'Mo2 Pb2 Se2'
_cell_length_a 3.183
_cell_length_b 3.183
_cell_length_c 13.764
_cell_angle_alpha 90.00
_cell_angle_beta 90.00
_cell_angle_gamma 90.00
_space_group_name_H-M_alt 'I 4 m m'
_space_group_IT_number 107
_space_group_name_Hall 'I 4 -2'
loop_
_atom_site_label
_atom_site_type_symbol
_atom_site_fract_x
_atom_site_fract_y
_atom_site_fract_z
Mo1 Mo 0.000 0.000 0.000
Pb1 Pb 0.000 0.000 0.663
Se1 Se 0.000 0.000 0.408
```

The following is a DFT calculation (PBE) of an optimized crystal structure of Eu2InCu.

- Formation enthalpy at 0 K: -0.260 eV/atom
- Calculated density: 7.34 Mg/m³
- Electronic total energy: -7.11 eV/atom
- Calculated volume: 27.277 A^3/atom

```
data_Eu2InCu
_chemical_formula_sum 'Eu2 In1 Cu1'
_cell_length_a 3.605
_cell_length_b 3.605
_cell_length_c 8.395
_cell_angle_alpha 90.00
_cell_angle_beta 90.00
_cell_angle_gamma 90.00
_space_group_name_H-M_alt 'P 4/m m m'
_space_group_IT_number 123
_space_group_name_Hall '-P 4 2'
loop_
_atom_site_label
_atom_site_type_symbol
_atom_site_fract_x
_atom_site_fract_y
_atom_site_fract_z
Eu1 Eu 0.000 0.000 0.220
In1 In 0.500 0.500 0.500
Cu1 Cu 0.500 0.500 0.000
```